This record from Alexandria via LeMat-Bulk describes crystalline CeBr3F at its relaxed geometry. The functional is GGA-PBE.

```
10
Lattice="4.007 0.000 0.000 0.000 11.070 0.000 -1.865 0.000 8.402" Properties=species:S:1:pos:R:3 pbc="T T T"
Ce 0.050 2.768 2.191
Ce 2.092 8.303 6.210
Br 0.050 0.082 2.322
Br 0.050 5.453 2.322
Br 0.090 8.303 8.316
Br 2.052 2.768 0.085
Br 2.092 5.617 6.080
Br 2.092 10.988 6.080
F 0.088 8.303 5.133
F 2.053 2.768 3.269
```

The size of the total moment comes out at 0.000 Bohr magnetons per cell. Its raw formation energy is -2059 meV/atom. The value obtained for the total energy is -46.24 eV/cell. As for the space-group type: P2_1/m, No. 11.